This record from Alexandria via LeMat-Bulk describes HfAl2Au after structural relaxation. The functional is PBE.

Output
* formation enthalpy at 0 K: -0.149 eV/atom
* theoretical density: 9.208 Mg/m³
* calculated volume: 77.44 Å³/f.u.

The structure in CIF format:
```
data_HfAl2Au
_space_group_name_H-M_alt 'I -4 2 d'
_space_group_IT_number 122
_space_group_name_Hall 'I -4 2bw'
_cell_length_a 7.3839
_cell_length_b 7.3839
_cell_length_c 5.6816
_cell_angle_alpha 90.00
_cell_angle_beta 90.00
_cell_angle_gamma 90.00
loop_
_atom_site_label
_atom_site_fract_x
_atom_site_fract_y
_atom_site_fract_z
Hf1 0.0000 0.0000 0.0000
Al1 0.2152 0.2500 0.6250
Au1 0.0000 0.0000 0.5000
```